DFT (PBE) results for a relaxed structure of AcLaSi2Pd5.

Calculated values
The symmetry is No. 123. Its crystal system is tetragonal. As for the uncorrected formation energy: -0.8666 eV per atom. The calculated total energy is -5.961 eV/atom.

abc: 4.373 4.373 9.074
angles: 90.00 90.00 90.00
Sites, in units of the cell vectors:
Ac (0.000, 0.000, 0.000)
La (0.000, 0.000, 0.500)
Si (0.500, 0.500, 0.365)
Si (0.500, 0.500, 0.635)
Pd (0.000, 0.500, 0.238)
Pd (0.000, 0.500, 0.762)
Pd (0.500, 0.000, 0.238)
Pd (0.500, 0.000, 0.762)
Pd (0.500, 0.500, 0.000)